A relaxed structure of MgMoAu, computed with PBEsol.

Structure (POSCAR):
```
MgMoAu
1.0
4.600 0.000 0.000
-2.300 3.984 0.000
0.000 0.000 2.691
Mg Mo Au
1 1 1
direct
0.000 0.000 0.000 Mg
0.667 0.333 0.498 Mo
0.333 0.667 0.997 Au
```

Summary:
* formation energy from the elements: 31.4 kJ per mole of atoms
* size of the total moment: 0.0 μB/f.u.
* DFT total energy: -16.433 eV per cell

=====

A relaxed structure of MgMo2Au, computed with PBEsol.

Structure (POSCAR):
```
MgMo2Au
1.0
2.693 0.000 0.000
0.000 2.693 0.000
0.000 0.000 8.908
Mg Mo Au
1 2 1
direct
0.000 0.000 0.000 Mg
0.000 0.000 0.511 Mo
0.500 0.500 0.257 Mo
0.500 0.500 0.754 Au
```

Summary:
* formation energy from the elements: 16.8 kJ per mole of atoms
* size of the total moment: 0.0 μB/f.u.
* DFT total energy: -28.482 eV per cell

=====

A relaxed structure of MgMo2Au, computed with PBEsol.

Structure (POSCAR):
```
MgMo2Au
1.0
-1.874 1.874 4.493
1.874 -1.874 4.493
1.874 1.874 -4.493
Mg Mo Au
1 2 1
direct
0.000 0.000 0.000 Mg
0.250 0.750 0.500 Mo
0.750 0.250 0.500 Mo
0.500 0.500 0.000 Au
```

Summary:
* formation energy from the elements: 8.8 kJ per mole of atoms
* size of the total moment: 0.0 μB/f.u.
* DFT total energy: -28.812 eV per cell

=====

A relaxed structure of MgMo2Au, computed with PBEsol.

Structure (POSCAR):
```
MgMo2Au
1.0
3.717 0.000 0.000
0.000 3.717 0.000
0.000 0.000 4.584
Mg Mo Au
1 2 1
direct
0.000 0.000 0.000 Mg
0.000 0.500 0.500 Mo
0.500 0.000 0.500 Mo
0.500 0.500 0.000 Au
```

Summary:
* formation energy from the elements: 9.6 kJ per mole of atoms
* size of the total moment: 0.0 μB/f.u.
* DFT total energy: -28.781 eV per cell

=====

A relaxed structure of MgMoPdAu2, computed with PBEsol.

Structure (POSCAR):
```
MgMoPdAu2
1.0
4.684 0.000 0.000
0.000 4.684 0.000
0.000 0.000 4.501
Mg Mo Pd Au
1 1 1 2
direct
0.000 0.000 0.000 Mg
0.500 0.500 0.500 Mo
0.000 0.000 0.500 Pd
0.000 0.500 0.000 Au
0.500 0.000 0.000 Au
```

Summary:
* formation energy from the elements: 106.0 kJ per mole of atoms
* size of the total moment: 3.7 μB/f.u.
* DFT total energy: -21.798 eV per cell

=====

A relaxed structure of MgAuN3, computed with PBEsol.

Structure (POSCAR):
```
MgAuN3
1.0
3.925 0.000 0.000
0.000 3.925 0.000
0.000 0.000 3.925
Mg Au N
1 1 3
direct
0.000 0.000 0.000 Mg
0.500 0.500 0.500 Au
0.000 0.000 0.500 N
0.000 0.500 0.000 N
0.500 0.000 0.000 N
```

Summary:
* size of the total moment: 2.6 μB/f.u.
* DFT total energy: -20.865 eV per cell

=====

A relaxed structure of Mg3AuN, computed with PBEsol.

Structure (POSCAR):
```
Mg3AuN
1.0
4.231 0.000 0.000
0.000 4.231 0.000
0.000 0.000 4.231
Mg Au N
3 1 1
direct
0.000 0.000 0.500 Mg
0.000 0.500 0.000 Mg
0.500 0.000 0.000 Mg
0.500 0.500 0.500 Au
0.000 0.000 0.000 N
```

Summary:
* size of the total moment: 0.0 μB/f.u.
* DFT total energy: -20.742 eV per cell

=====

A relaxed structure of RbMgAu2N, computed with PBEsol.

Structure (POSCAR):
```
RbMgAu2N
1.0
6.171 0.000 0.000
0.000 6.171 0.000
0.000 0.000 7.317
Rb Mg Au N
1 1 2 1
direct
0.000 0.000 0.000 Rb
0.000 0.000 0.500 Mg
0.000 0.500 0.000 Au
0.500 0.000 0.000 Au
0.500 0.500 0.500 N
```

Summary:
* size of the total moment: 3.7 μB/f.u.
* DFT total energy: -8.453 eV per cell